Crystalline PmSnS2O8 at its relaxed geometry, computed with GGA-PBE.

Properties
* space group: C2/m, No. 12
* energy relative to the elements, uncorrected: -1.684 eV per atom

abc: 5.9547 5.2948 8.0998
angles: 61.73 68.43 55.78
Closest atoms and distances in Å follow each position.
Atoms (fractional coordinates):
S: 0.2938 0.2363 0.1761  4 O 1.49-1.50
O: 0.1811 0.0154 0.2203  1 S 1.50
O: 0.8189 0.9846 0.7797  1 S 1.50
Pm: 0.0000 0.0000 0.0000  8 O 2.45-2.59
O: 0.8728 0.5409 0.7135  1 S 1.49
O: 0.5832 0.0154 0.2203  1 S 1.50
O: 0.1272 0.4591 0.2865  1 S 1.49
S: 0.7062 0.7637 0.8239  4 O 1.49-1.50
Sn: 0.5000 0.5000 0.5000  4 O 2.77
O: 0.2906 0.4466 0.9723  1 S 1.49
O: 0.7094 0.5534 0.0277  1 S 1.49
O: 0.4168 0.9846 0.7797  1 S 1.50

---

Crystalline SrPmS2O8 at its relaxed geometry, computed with GGA-PBE.

Properties
* space group: P-3m1, No. 164
* energy relative to the elements, uncorrected: -2.028 eV per atom

abc: 5.2200 5.2200 7.9932
angles: 90.00 90.00 120.00
Closest atoms and distances in Å follow each position.
Atoms (fractional coordinates):
O: 0.3333 0.6667 0.5235  1 S 1.48
S: 0.6667 0.3333 0.2914  4 O 1.48-1.49
Sr: 0.0000 0.0000 0.5000  6 O 2.69
O: 0.1774 0.3549 0.7697  1 S 1.49
O: 0.6451 0.8226 0.7697  1 S 1.49
O: 0.1774 0.8226 0.7697  1 S 1.49
O: 0.8226 0.6451 0.2303  1 S 1.49
O: 0.6667 0.3333 0.4765  1 S 1.48
O: 0.3549 0.1774 0.2303  1 S 1.49
O: 0.8226 0.1774 0.2303  1 S 1.49
Pm: 0.0000 0.0000 0.0000  6 O 2.44
S: 0.3333 0.6667 0.7086  4 O 1.48-1.49